This record from the Alexandria database describes a geometry-optimized ScPd3Au4 structure. The functional is PBE-GGA.

```
8
Lattice="-1.4811 4.3506 5.5855 1.4811 -4.3506 5.5855 1.4811 4.3506 -5.5855" Properties=species:S:1:pos:R:3 pbc="T T T"
Sc 0.0000 0.0000 0.0000
Pd 1.4811 0.0000 2.1706
Pd 0.0000 0.0000 5.5855
Pd 0.0000 4.3506 3.4149
Au 1.4811 -1.9594 4.1341
Au 0.0000 2.3912 1.4514
Au 1.4811 1.9594 4.1341
Au 0.0000 6.3100 1.4514
```

Summary:
Calculated density   13.29 g/cm3
Energy relative to the elements   -0.234 eV per atom
VASP energy   -36.9 eV/cell
Magnetization   0.00 μB per formula unit
Distance to the lowest polymorph of the same formula   0.401 eV/f.u.

---

This record from the Alexandria database describes a geometry-optimized KMo2Br8 structure. The functional is PBE-GGA.

```
11
Lattice="5.2730 0.0000 0.0000 0.1582 8.8596 0.0000 2.6159 3.6819 8.5434" Properties=species:S:1:pos:R:3 pbc="T T T"
K 0.0000 0.0000 0.0000
Mo 2.6253 3.2007 3.2795
Mo 5.4218 9.3409 5.2639
Br 2.6296 4.6368 5.3183
Br 2.7821 9.8240 5.0195
Br 2.6223 5.0876 1.7637
Br 2.6332 1.5035 1.3583
Br 5.4139 11.0380 7.1851
Br 5.4248 7.4540 6.7797
Br 5.2650 2.7175 3.5239
Br 5.4175 7.9047 3.2251
```

Summary:
Calculated density   3.62 g/cm3
VASP energy   -42.8 eV/cell
Magnetization   5.00 μB per formula unit
Uncorrected formation energy   -0.60 eV/atom

---

This record from the Alexandria database describes a geometry-optimized NaOs2Pt structure. The functional is PBE-GGA.

```
8
Lattice="-3.8979 3.8979 2.4210 3.8979 -3.8979 2.4210 3.8979 3.8979 -2.4210" Properties=species:S:1:pos:R:3 pbc="T T T"
Na 0.0000 0.0000 0.0000
Na 0.0000 3.8979 1.2105
Os 1.9489 -1.4966 1.8157
Os 2.4012 1.9489 0.6052
Os 1.9489 5.3945 -0.6052
Os 1.4966 1.9489 3.0262
Pt 3.8979 0.0000 1.2105
Pt 0.0000 0.0000 2.4210
```

Summary:
Calculated density   13.51 g/cm3
Energy relative to the elements   1.092 eV per atom
VASP energy   -50.9 eV/cell
Magnetization   0.00 μB per formula unit
Distance to the lowest polymorph of the same formula   0.195 eV/f.u.

---

This record from the Alexandria database describes a geometry-optimized MnCr2Ag structure. The functional is PBE-GGA.

```
4
Lattice="2.6206 -3.8779 0.0000 2.6206 3.8779 0.0000 0.0000 0.0000 2.6392" Properties=species:S:1:pos:R:3 pbc="T T T"
Mn 0.0000 0.0000 0.0000
Cr 1.3103 1.9390 1.3196
Cr 1.3103 -1.9390 1.3196
Ag 2.6206 0.0000 0.0000
```

Summary:
Calculated density   8.26 g/cm3
Energy relative to the elements   0.579 eV per atom
VASP energy   -29.0 eV/cell
Magnetization   0.42 μB per formula unit
Distance to the lowest polymorph of the same formula   1.128 eV/f.u.

---

This record from the Alexandria database describes a geometry-optimized Zn2Se2O7 structure. The functional is PBE-GGA.

```
11
Lattice="4.0625 -4.1410 0.0000 4.0625 4.1410 0.0000 -2.4427 0.0000 4.5895" Properties=species:S:1:pos:R:3 pbc="T T T"
Zn 4.0625 2.5684 0.0000
Zn 4.0625 -2.5684 0.0000
Se 0.9445 0.0000 2.7828
Se 4.7377 0.0000 1.8067
O -0.0425 0.0000 1.3211
O 0.3357 1.3620 3.6417
O 0.3357 -1.3620 3.6417
O 2.8411 0.0000 2.2947
O 5.3465 1.3620 0.9477
O 5.3465 -1.3620 0.9477
O 5.7247 0.0000 3.2684
```

Summary:
Calculated density   4.31 g/cm3
VASP energy   -53.3 eV/cell
Magnetization   0.00 μB per formula unit
Distance to the lowest polymorph of the same formula   0.358 eV/f.u.
Uncorrected formation energy   -0.83 eV/atom

---

This record from the Alexandria database describes a geometry-optimized CsCd2F4 structure. The functional is PBE-GGA.

```
14
Lattice="-3.6823 3.6823 5.5695 3.6823 -3.6823 5.5695 3.6823 3.6823 -5.5695" Properties=species:S:1:pos:R:3 pbc="T T T"
Cs 3.6823 1.8411 1.3924
Cs 0.0000 1.8411 4.1771
Cd 0.0000 0.0000 0.0000
Cd 1.8411 1.8411 -2.7847
Cd 1.8411 -1.8411 2.7847
Cd 0.0000 3.6823 0.0000
F 3.6823 3.3482 -3.1654
F 1.5071 1.8411 -0.3807
F 2.1752 -1.8411 5.1888
F 3.6823 -0.3341 3.1654
F 0.0000 4.0163 2.4041
F 1.5071 5.5234 0.3807
F 2.1752 1.8411 5.9501
F 0.0000 0.3341 8.7348
```

Summary:
Calculated density   4.77 g/cm3
VASP energy   -49.2 eV/cell
Magnetization   0.00 μB per formula unit
Uncorrected formation energy   -2.06 eV/atom

---

This record from the Alexandria database describes a geometry-optimized CrSn3Rh6 structure. The functional is PBE-GGA.

```
20
Lattice="7.8729 0.0000 0.0000 0.0000 4.4728 0.0000 -3.6215 0.0000 9.1651" Properties=species:S:1:pos:R:3 pbc="T T T"
Cr 0.6472 1.1182 0.6791
Cr 3.6041 3.3546 8.4860
Sn -2.1037 3.3546 6.5020
Sn 0.6147 3.3546 4.8433
Sn -0.4251 1.1182 7.9799
Sn 4.6765 3.3546 1.1852
Sn 3.6367 1.1182 4.3218
Sn 6.3551 1.1182 2.6631
Rh -0.1496 3.3546 1.8842
Rh -1.0527 1.1182 5.3271
Rh 1.9721 3.3546 0.0092
Rh 1.0455 1.1182 3.2770
Rh 3.1193 1.1182 1.4513
Rh 2.5549 3.3546 2.8989
Rh 1.6964 1.1182 6.2662
Rh 1.1321 3.3546 7.7137
Rh 3.2058 3.3546 5.8881
Rh 2.2793 1.1182 9.1559
Rh 5.3041 3.3546 3.8380
Rh 4.4010 1.1182 7.2808
```

Summary:
Calculated density   10.55 g/cm3
Energy relative to the elements   -0.253 eV per atom
VASP energy   -136.5 eV/cell
Magnetization   2.49 μB per formula unit

---

This record from the Alexandria database describes a geometry-optimized NbGeAu3 structure. The functional is PBE-GGA.

```
5
Lattice="5.1247 0.0000 0.0000 0.0000 5.1247 0.0000 0.0000 0.0000 5.1247" Properties=species:S:1:pos:R:3 pbc="T T T"
Nb 0.0000 0.0000 0.0000
Ge 2.5624 2.5624 2.5624
Au 0.0000 0.0000 2.5624
Au 0.0000 2.5624 0.0000
Au 2.5624 0.0000 0.0000
```

Summary:
Calculated density   9.33 g/cm3
Energy relative to the elements   1.043 eV per atom
VASP energy   -19.3 eV/cell
Magnetization   0.00 μB per formula unit
Distance to the lowest polymorph of the same formula   1.461 eV/f.u.

---

This record from the Alexandria database describes a geometry-optimized BaCdPt2 structure. The functional is PBE-GGA.

```
4
Lattice="3.2217 -3.7594 0.0000 3.2217 3.7594 0.0000 0.0000 0.0000 3.7806" Properties=species:S:1:pos:R:3 pbc="T T T"
Ba 0.0000 0.0000 0.0000
Cd 3.2217 0.0000 0.0000
Pt 1.6109 1.8797 1.8903
Pt 1.6109 -1.8797 1.8903
```

Summary:
Calculated density   11.60 g/cm3
Energy relative to the elements   -0.227 eV per atom
VASP energy   -15.8 eV/cell
Magnetization   0.00 μB per formula unit

---

This record from the Alexandria database describes a geometry-optimized LiMnSi2 structure. The functional is PBE-GGA.

```
4
Lattice="0.0000 2.8597 2.8597 2.8597 0.0000 2.8597 2.8597 2.8597 0.0000" Properties=species:S:1:pos:R:3 pbc="T T T"
Li 0.0000 0.0000 0.0000
Mn 2.8597 2.8597 2.8597
Si 1.4299 1.4299 1.4299
Si 4.2896 4.2896 4.2896
```

Summary:
Calculated density   4.19 g/cm3
VASP energy   -22.4 eV/cell
Magnetization   1.42 μB per formula unit
Distance to the lowest polymorph of the same formula   0.314 eV/f.u.
Uncorrected formation energy   -0.11 eV/atom

---

This record from the Alexandria database describes a geometry-optimized SmH6Rh2Pb structure. The functional is PBE-GGA.

```
20
Lattice="3.8513 -6.0120 0.0000 3.8513 6.0120 0.0000 -0.5077 0.0000 4.6510" Properties=species:S:1:pos:R:3 pbc="T T T"
Sm 3.4705 4.1019 3.4882
Sm 3.7244 -4.1019 1.1627
H 2.8294 4.0275 0.9338
H 2.0573 2.2869 2.6582
H 0.9740 0.0673 2.2787
H 0.7201 -0.0673 4.6042
H 4.6194 4.0275 1.3917
H 2.3112 -2.2869 0.3327
H 4.8837 2.2869 4.3182
H 2.5755 -4.0275 3.2593
H 6.4748 0.0673 0.0468
H 6.2210 -0.0673 2.3722
H 5.1376 -2.2869 1.9928
H 4.3655 -4.0275 3.7172
Rh 1.7610 0.9606 3.5661
Rh 2.0149 -0.9606 1.2406
Rh 5.1800 0.9606 3.4103
Rh 5.4339 -0.9606 1.0848
Pb 3.7244 1.4904 1.1627
Pb 3.4705 -1.4904 3.4882
```

Summary:
Calculated density   8.78 g/cm3
VASP energy   -91.7 eV/cell
Magnetization   0.00 μB per formula unit

---

This record from the Alexandria database describes a geometry-optimized CeTmHgOs structure. The functional is PBE-GGA.

```
4
Lattice="0.0000 3.5660 3.5660 3.5660 0.0000 3.5660 3.5660 3.5660 0.0000" Properties=species:S:1:pos:R:3 pbc="T T T"
Ce 0.0000 0.0000 0.0000
Tm 3.5660 3.5660 3.5660
Hg 5.3490 5.3490 5.3490
Os 1.7830 1.7830 1.7830
```

Summary:
Calculated density   12.81 g/cm3
Energy relative to the elements   -0.206 eV per atom
VASP energy   -22.8 eV/cell
Magnetization   0.13 μB per formula unit
Distance to the lowest polymorph of the same formula   0.643 eV/f.u.

---

This record from the Alexandria database describes a geometry-optimized La3Nd8Dy2 structure. The functional is PBE-GGA.

```
13
Lattice="6.7272 -5.9657 0.0000 6.7272 5.9657 0.0000 -2.4292 0.0000 5.7722" Properties=species:S:1:pos:R:3 pbc="T T T"
La 0.0000 0.0000 0.0000
La 5.5126 3.1196 2.8861
La 5.5126 -3.1196 2.8861
Nd 2.3627 2.9223 4.7468
Nd 0.8160 0.0000 3.1511
Nd 8.6624 2.9223 1.0255
Nd 4.2104 0.0000 4.1123
Nd 6.8148 0.0000 1.6600
Nd 2.3627 -2.9223 4.7468
Nd 10.2092 0.0000 2.6211
Nd 8.6624 -2.9223 1.0255
Dy 3.5921 0.0000 0.7831
Dy 7.4330 0.0000 4.9891
```

Summary:
Calculated density   6.79 g/cm3
Energy relative to the elements   0.141 eV per atom
VASP energy   -60.3 eV/cell
Magnetization   0.00 μB per formula unit
Distance to the lowest polymorph of the same formula   0.000 eV/f.u.

---

This record from the Alexandria database describes a geometry-optimized YHo2Rh3 structure. The functional is PBE-GGA.

```
6
Lattice="3.4205 0.0000 0.0000 0.0000 3.4205 0.0000 0.0000 0.0000 10.2497" Properties=species:S:1:pos:R:3 pbc="T T T"
Y 0.0000 0.0000 0.0000
Ho 0.0000 0.0000 3.4235
Ho 0.0000 0.0000 6.8262
Rh 1.7103 1.7103 1.7409
Rh 1.7103 1.7103 5.1248
Rh 1.7103 1.7103 8.5088
```

Summary:
Calculated density   10.07 g/cm3
Energy relative to the elements   -0.884 eV per atom
VASP energy   -43.0 eV/cell
Magnetization   0.00 μB per formula unit
Distance to the lowest polymorph of the same formula   0.013 eV/f.u.

---

This record from the Alexandria database describes a geometry-optimized GdScAg2 structure. The functional is PBE-GGA.

```
4
Lattice="5.0586 0.0000 0.0000 0.0000 5.0586 0.0000 0.0000 0.0000 3.5219" Properties=species:S:1:pos:R:3 pbc="T T T"
Gd 0.0000 0.0000 0.0000
Sc 2.5293 2.5293 0.0000
Ag 0.0000 2.5293 1.7609
Ag 2.5293 0.0000 1.7609
```

Summary:
Calculated density   7.70 g/cm3
Energy relative to the elements   -0.259 eV per atom
VASP energy   -27.2 eV/cell
Magnetization   7.18 μB per formula unit

---

This record from the Alexandria database describes a geometry-optimized La3Ho7Tm2 structure. The functional is PBE-GGA.

```
12
Lattice="3.6388 0.0000 0.0000 0.0000 5.6070 0.0000 -1.8207 0.0000 20.3463" Properties=species:S:1:pos:R:3 pbc="T T T"
La 0.0000 0.0000 0.0000
La -0.0047 2.8035 13.3651
La 1.8229 2.8035 6.9812
Ho 0.0037 2.8035 3.4646
Ho 0.0010 0.0000 8.7780
Ho -0.0045 0.0000 17.5640
Ho 1.8194 2.8035 0.0000
Ho 1.8227 0.0000 2.7822
Ho 1.8171 0.0000 11.5682
Ho 1.8145 2.8035 16.8816
Tm 0.0038 0.0000 5.5700
Tm 1.8143 0.0000 14.7762
```

Summary:
Calculated density   7.64 g/cm3
Energy relative to the elements   0.232 eV per atom
VASP energy   -53.0 eV/cell
Magnetization   0.00 μB per formula unit

---

This record from the Alexandria database describes a geometry-optimized PuMnSiRu structure. The functional is PBE-GGA.

```
4
Lattice="0.0000 3.1320 3.1320 3.1320 0.0000 3.1320 3.1320 3.1320 0.0000" Properties=species:S:1:pos:R:3 pbc="T T T"
Pu 0.0000 0.0000 0.0000
Mn 4.6981 4.6981 4.6981
Si 3.1320 3.1320 3.1320
Ru 1.5660 1.5660 1.5660
```

Summary:
Calculated density   11.57 g/cm3
VASP energy   -39.3 eV/cell
Magnetization   2.97 μB per formula unit
Uncorrected formation energy   -0.27 eV/atom

---

This record from the Alexandria database describes a geometry-optimized Si2RhAu structure. The functional is PBE-GGA.

```
4
Lattice="4.0102 -1.8040 0.0000 4.0102 1.8040 0.0000 -1.1954 0.0000 4.4109" Properties=species:S:1:pos:R:3 pbc="T T T"
Si 0.0000 0.0000 0.0000
Si 0.9644 0.0000 2.7637
Rh 4.4556 0.0000 4.3605
Au 3.2465 0.0000 1.7017
```

Summary:
Calculated density   9.26 g/cm3
VASP energy   -22.2 eV/cell
Magnetization   0.00 μB per formula unit
Distance to the lowest polymorph of the same formula   0.419 eV/f.u.
Uncorrected formation energy   -0.18 eV/atom

---

This record from the Alexandria database describes a geometry-optimized NpPa2S6 structure. The functional is PBE-GGA.

```
18
Lattice="6.2958 0.0000 0.0000 0.0000 6.2958 0.0000 0.0000 0.0000 12.4671" Properties=species:S:1:pos:R:3 pbc="T T T"
Np 0.0000 0.0000 0.0000
Np 3.1479 3.1479 6.2335
Pa 0.0000 0.0000 4.1585
Pa 0.0000 0.0000 8.3085
Pa 3.1479 3.1479 2.0750
Pa 3.1479 3.1479 10.3921
S 1.1955 1.1955 6.2335
S 1.2379 1.2379 2.1263
S 1.2379 1.2379 10.3408
S 1.9101 4.3858 4.1072
S 1.9101 4.3858 8.3598
S 1.9525 4.3434 0.0000
S 4.3434 1.9525 0.0000
S 4.3858 1.9101 4.1072
S 4.3858 1.9101 8.3598
S 5.0580 5.0580 2.1263
S 5.0580 5.0580 10.3408
S 5.1004 5.1004 6.2335
```

Summary:
Calculated density   5.99 g/cm3
VASP energy   -139.5 eV/cell
Magnetization   5.02 μB per formula unit
Uncorrected formation energy   -1.45 eV/atom

---

This record from the Alexandria database describes a geometry-optimized Tb2AsCl2 structure. The functional is PBE-GGA.

```
5
Lattice="2.0199 1.1662 12.1188 -2.0199 1.1662 12.1188 0.0000 -2.3323 12.1188" Properties=species:S:1:pos:R:3 pbc="T T T"
Tb 0.0000 0.0000 4.4500
Tb 0.0000 0.0000 31.9063
As 0.0000 0.0000 18.1782
Cl 0.0000 0.0000 9.2802
Cl 0.0000 0.0000 27.0761
```

Summary:
Calculated density   4.50 g/cm3
VASP energy   -27.1 eV/cell
Magnetization   0.00 μB per formula unit
Uncorrected formation energy   -1.89 eV/atom